No. 1
A plane-wave DFT calculation with PBE was carried out for an optimized crystal structure of AlGa2NiSn.

DOS(E_F): 3.0 states/eV/cell
energy of formation from the pure elements: 0.430 eV per atom
symmetry: P4/mmm, No. 123
DFT total energy: -17.4 eV for the cell shown
crystal system: tetragonal

abc: 4.914 4.914 4.500
angles: 90.00 90.00 90.00
Fractional positions:
Al: 0.000 0.000 0.000
Ga: 0.000 0.500 0.000
Ga: 0.500 0.000 0.000
Ni: 0.000 0.000 0.500
Sn: 0.500 0.500 0.500


No. 2
A plane-wave DFT calculation with PBE was carried out for an optimized crystal structure of Tb2AlGa3Ni4.

DOS(E_F): 5.8 states/eV/cell
energy of formation from the pure elements: -0.588 eV per atom
symmetry: P-4m2, No. 115
DFT total energy: -51.1 eV for the cell shown
crystal system: tetragonal

abc: 3.950 3.950 10.532
angles: 90.00 90.00 90.00
Fractional positions:
Tb: 0.000 0.500 0.247
Tb: 0.500 0.000 0.753
Al: 0.500 0.500 0.000
Ga: 0.000 0.000 0.000
Ga: 0.000 0.500 0.631
Ga: 0.500 0.000 0.369
Ni: 0.000 0.000 0.500
Ni: 0.000 0.500 0.861
Ni: 0.500 0.000 0.139
Ni: 0.500 0.500 0.500


No. 3
A plane-wave DFT calculation with PBE was carried out for an optimized crystal structure of Tb2AlGa4Ni3.

DOS(E_F): 5.9 states/eV/cell
energy of formation from the pure elements: -0.583 eV per atom
symmetry: P-4m2, No. 115
DFT total energy: -48.3 eV for the cell shown
crystal system: tetragonal

abc: 4.040 4.040 10.433
angles: 90.00 90.00 90.00
Fractional positions:
Tb: 0.000 0.500 0.239
Tb: 0.500 0.000 0.761
Al: 0.000 0.000 0.500
Ga: 0.000 0.000 0.000
Ga: 0.000 0.500 0.646
Ga: 0.500 0.000 0.354
Ga: 0.500 0.500 0.000
Ni: 0.000 0.500 0.871
Ni: 0.500 0.000 0.129
Ni: 0.500 0.500 0.500


No. 4
A plane-wave DFT calculation with PBE was carried out for an optimized crystal structure of TbAlGaNi3.

DOS(E_F): 7.0 states/eV/cell
energy of formation from the pure elements: -0.329 eV per atom
symmetry: Cmcm, No. 63
DFT total energy: -61.4 eV for the cell shown
crystal system: orthorhombic

abc: 6.662 6.662 5.343
angles: 90.00 90.00 125.87
Fractional positions:
Tb: 0.206 0.794 0.750
Tb: 0.794 0.206 0.250
Al: 0.452 0.548 0.750
Al: 0.548 0.452 0.250
Ga: 0.140 0.860 0.250
Ga: 0.860 0.140 0.750
Ni: 0.197 0.197 0.000
Ni: 0.197 0.197 0.500
Ni: 0.346 0.654 0.250
Ni: 0.654 0.346 0.750
Ni: 0.803 0.803 0.000
Ni: 0.803 0.803 0.500